CuSiOs2 PBE optimized geometry; final energy = -30.895 eV for the cell shown; V = 13.87 Å³ per atom
1.0
-1.3688 2.3360 -0.4757
-0.3105 -2.0306 -1.8267
-6.4209 -2.8866 4.3002
Si Os Cu
1 2 1
direct
0.5000 0.5000 0.2500
0.0000 0.0000 0.4806
0.0000 0.0000 0.0194
0.5000 0.5000 0.7500

---

CuSi2Os PBE optimized geometry; V = 12.99 Å³ per atom; offset from the most stable computed form = 0.1250 eV per atom
1.0
-4.0311 1.6066 -0.6852
-1.8171 -0.2996 3.9886
3.8318 1.8772 -1.0460
Cu Si Os
1 2 1
direct
0.7500 0.2500 0.5000
0.4999 0.4999 0.0000
0.0001 0.0001 0.0000
0.2500 0.7500 0.5000

---

CuSiOs2 PBE optimized geometry; final energy = -31.567 eV for the cell shown; V = 13.60 Å³ per atom
1.0
-4.1506 7.1266 0.8830
-6.2032 5.5057 -0.0553
-5.5814 5.5323 2.6527
Si Cu Os
1 1 2
direct
0.2500 0.2500 0.2500
0.7500 0.7500 0.7500
0.5058 0.5058 0.5058
0.9942 0.9942 0.9942

---

CuSi4Os PBE optimized geometry; final energy = -33.270 eV for the cell shown; V = 13.72 Å³ per atom
1.0
0.0000 3.4526 3.4526
3.4526 0.0000 3.4526
3.4526 3.4526 0.0000
Si Os Cu
4 1 1
direct
0.8756 0.3748 0.3748
0.3748 0.8756 0.3748
0.3748 0.3748 0.8756
0.3748 0.3748 0.3748
0.0000 0.0000 0.0000
0.7500 0.7500 0.7500

---

CuSiOs2 PBE optimized geometry; final energy = -31.598 eV for the cell shown; V = 13.73 Å³ per atom
1.0
4.7331 0.0502 0.0326
3.8663 2.7306 0.0326
1.3360 0.4320 4.3257
Si Os Cu
1 2 1
direct
0.7500 0.7500 0.7500
0.0292 0.0292 0.9820
0.4708 0.4708 0.5180
0.2500 0.2500 0.2500

---

CuSiOs3 PBE optimized geometry; V = 17.31 Å³ per atom; offset from the most stable computed form = 0.7964 eV per atom
1.0
-2.5340 -1.1577 3.4361
0.8171 -4.2665 -0.8350
3.5326 0.1564 2.6578
Si Os Cu
1 3 1
direct
0.5000 0.5000 0.5000
0.0000 0.5000 0.0000
0.5000 0.0000 0.0000
0.0000 0.0000 0.5000
0.0000 0.0000 0.0000

---

Cu4SiOs PBE optimized geometry; final energy = -30.667 eV for the cell shown; V = 12.53 Å³ per atom
1.0
0.0000 3.3496 3.3496
3.3496 0.0000 3.3496
3.3496 3.3496 0.0000
Cu Si Os
4 1 1
direct
0.6249 0.6249 0.1254
0.6249 0.6249 0.6249
0.1254 0.6249 0.6249
0.6249 0.1254 0.6249
0.0000 0.0000 0.0000
0.2500 0.2500 0.2500

---

CuSi2Os PBE optimized geometry; V = 13.93 Å³ per atom; offset from the most stable computed form = 0.4576 eV per atom
1.0
-1.6325 -0.1627 2.2264
1.1429 -2.3556 -0.8906
6.4607 1.3075 4.8330
Si Cu Os
2 1 1
direct
0.5000 0.5000 0.2512
0.0000 0.0000 0.9951
0.0000 0.0000 0.4893
0.5000 0.5000 0.7644

---

Copy entry 6 word for word.
CuSiOs3 PBE optimized geometry; V = 17.31 Å³ per atom; offset from the most stable computed form = 0.7964 eV per atom
1.0
-2.5340 -1.1577 3.4361
0.8171 -4.2665 -0.8350
3.5326 0.1564 2.6578
Si Os Cu
1 3 1
direct
0.5000 0.5000 0.5000
0.0000 0.5000 0.0000
0.5000 0.0000 0.0000
0.0000 0.0000 0.5000
0.0000 0.0000 0.0000

---

V of number 4 (CuSi4Os)? 13.72 Å³ per atom

---

What did the fourth record say?
CuSi4Os PBE optimized geometry; final energy = -33.270 eV for the cell shown; V = 13.72 Å³ per atom
1.0
0.0000 3.4526 3.4526
3.4526 0.0000 3.4526
3.4526 3.4526 0.0000
Si Os Cu
4 1 1
direct
0.8756 0.3748 0.3748
0.3748 0.8756 0.3748
0.3748 0.3748 0.8756
0.3748 0.3748 0.3748
0.0000 0.0000 0.0000
0.7500 0.7500 0.7500